Density functional theory data (PBE+U) for HoPaMn2O8 after structural relaxation.

Its uncorrected energy is -193.187 eV per cell. The size of the total moment comes out at 12.00 μB per cell.

The space group is I-4 (No. 82) and the conventional cell measures 5.141, 5.141 and 11.178 Å, with angles of 90.00, 90.00 and 90.00 degrees. The asymmetric unit holds Ho at (0.000, 0.000, 0.000), Pa at (0.000, 0.500, 0.250), Mn at (0.000, 0.000, 0.500), Mn at (0.000, 0.500, 0.750), O at (0.168, 0.240, 0.421) and O at (0.175, 0.790, 0.826).